DFT (PBE-GGA) results for a relaxed structure of Co4SiIr.

```
6
Lattice="0.000 3.295 3.295 3.295 0.000 3.295 3.295 3.295 0.000" Properties=species:S:1:pos:R:3 pbc="T T T"
Co 0.827 0.827 0.827
Co 2.468 2.468 0.827
Co 2.468 0.827 2.468
Co 0.827 2.468 2.468
Si 3.295 3.295 3.295
Ir 4.943 4.943 4.943
```

Calculated values
Volume in Å³ per cell: 71.6
SG: F-43m
Total magnetic moment in μB/f.u.: 6.8
Formation energy without anion corrections in eV per atom: 0.15
DFT total energy in eV per atom: -6.968



DFT (PBE-GGA) results for a relaxed structure of Ti2SiNiB.

```
5
Lattice="4.202 0.000 0.000 0.000 4.202 0.000 0.000 0.000 3.826" Properties=species:S:1:pos:R:3 pbc="T T T"
Ti 0.000 2.101 0.000
Ti 2.101 0.000 0.000
Si 0.000 0.000 1.913
Ni 2.101 2.101 1.913
B 2.101 2.101 0.000
```

Calculated values
Volume in Å³ per cell: 67.5
SG: P4/mmm
Total magnetic moment in μB/f.u.: 0.0
Formation energy without anion corrections in eV per atom: -0.31
DFT total energy in eV per atom: -7.046



DFT (PBE-GGA) results for a relaxed structure of ZrAsCl.

```
12
Lattice="6.521 0.000 0.000 0.000 6.521 0.000 0.000 0.000 6.521" Properties=species:S:1:pos:R:3 pbc="T T T"
Zr 0.000 0.000 0.000
Zr 0.000 3.260 3.260
Zr 3.260 0.000 3.260
Zr 3.260 3.260 0.000
As 1.630 1.630 1.630
As 1.630 4.891 4.891
As 4.891 1.630 4.891
As 4.891 4.891 1.630
Cl 1.630 1.630 4.891
Cl 1.630 4.891 1.630
Cl 4.891 1.630 1.630
Cl 4.891 4.891 4.891
```

Calculated values
Volume in Å³ per cell: 277.3
SG: F-43m
Total magnetic moment in μB/f.u.: 0.0
Formation energy without anion corrections in eV per atom: -0.78
DFT total energy in eV per atom: -5.790



DFT (PBE-GGA) results for a relaxed structure of Lu2ScBi.

```
4
Lattice="4.769 0.000 0.000 0.000 4.769 0.000 0.000 0.000 4.674" Properties=species:S:1:pos:R:3 pbc="T T T"
Lu 0.000 2.385 0.000
Lu 2.385 0.000 0.000
Sc 0.000 0.000 2.337
Bi 2.385 2.385 2.337
```

Calculated values
Volume in Å³ per cell: 106.3
SG: P4/mmm
Energy of formation from the pure elements in kJ/mol of formula units: -100
Total magnetic moment in μB/f.u.: 1.7
DFT total energy in eV per atom: -5.074



Question: Which value of total magnetic moment does entry 1 give?
Answer: 6.8 μB/f.u.



Question: DFT total energy of number 3 (ZrAsCl)?
Answer: -5.790 eV per atom



Question: What is the total magnetic moment in the fourth record?
Answer: 1.7 μB/f.u.